Fe5O8F2: optimized geometry, PBE with a Hubbard U.

Results
Raw total energy, eV/atom: -6.103

Unit cell a=4.638 b=4.639 c=15.760 alpha=90.00 beta=106.73 gamma=90.00
Positions (direct):
Fe  0.000  0.000  0.000
Fe  0.000  0.500  0.500
Fe  0.209  0.006  0.205
Fe  0.209  0.494  0.705
Fe  0.425  0.523  0.901
Fe  0.425  0.977  0.401
Fe  0.575  0.023  0.599
Fe  0.575  0.477  0.099
Fe  0.791  0.506  0.295
Fe  0.791  0.994  0.795
O  0.115  0.698  0.802
O  0.115  0.802  0.302
O  0.276  0.180  0.100
O  0.276  0.320  0.600
O  0.307  0.693  0.000
O  0.307  0.807  0.500
O  0.491  0.689  0.196
O  0.491  0.811  0.696
O  0.509  0.189  0.304
O  0.509  0.311  0.804
O  0.693  0.193  0.500
O  0.693  0.307  0.000
O  0.724  0.680  0.400
O  0.724  0.820  0.900
O  0.885  0.198  0.698
O  0.885  0.302  0.198
F  0.107  0.203  0.899
F  0.107  0.297  0.399
F  0.893  0.703  0.601
F  0.893  0.797  0.101